Entry from Alexandria: an optimized crystal structure of Sm6YIn5 (PBE).

## Properties
The value obtained for the formation energy is -0.396 eV per atom. For the density of states at the Fermi level, the calculation gives 12.1 states/eV per cell. The calculation puts the density at 7.53 g cm⁻³. The value obtained for the size of the total moment is 0.0 μB/cell. As for the space group: Immm.

a = 9.196 Å, b = 9.196 Å, c = 9.196 Å
α = 148.19°, β = 121.40°, γ = 68.24°
Positions (direct):
Sm: 0.067 0.329 0.738
Sm: 0.231 0.000 0.231
Sm: 0.409 0.671 0.738
Sm: 0.591 0.329 0.262
Sm: 0.769 0.000 0.769
Sm: 0.933 0.671 0.262
Y: 0.500 0.500 0.000
In: 0.000 0.500 0.500
In: 0.174 0.174 0.000
In: 0.348 0.848 0.500
In: 0.652 0.152 0.500
In: 0.826 0.826 0.000

Entry from Alexandria: an optimized crystal structure of SmYIn2 (PBE).

## Properties
The value obtained for the formation energy is -0.498 eV per atom. For the density of states at the Fermi level, the calculation gives 1.4 states/eV per cell. The calculation puts the density at 7.11 g cm⁻³. The value obtained for the size of the total moment is 0.0 μB/cell. As for the space group: Fm-3m.

a = 5.369 Å, b = 5.369 Å, c = 5.369 Å
α = 60.00°, β = 60.00°, γ = 60.00°
Positions (direct):
Sm: 0.000 0.000 0.000
Y: 0.500 0.500 0.500
In: 0.250 0.250 0.250
In: 0.750 0.750 0.750

Entry from Alexandria: an optimized crystal structure of Sm3Y2In3 (PBE).

## Properties
The value obtained for the formation energy is -0.373 eV per atom. For the density of states at the Fermi level, the calculation gives 7.5 states/eV per cell. The calculation puts the density at 6.89 g cm⁻³. The value obtained for the size of the total moment is 0.0 μB/cell. As for the space group: Immm.

a = 11.769 Å, b = 11.769 Å, c = 11.769 Å
α = 161.28°, β = 153.35°, γ = 32.77°
Positions (direct):
Sm: 0.000 0.000 0.000
Sm: 0.377 0.877 0.500
Sm: 0.623 0.123 0.500
Y: 0.234 0.234 0.000
Y: 0.766 0.766 0.000
In: 0.121 0.621 0.500
In: 0.500 0.500 0.000
In: 0.879 0.379 0.500

Entry from Alexandria: an optimized crystal structure of Sm5YIn4 (PBE).

## Properties
The value obtained for the formation energy is -0.382 eV per atom. For the density of states at the Fermi level, the calculation gives 8.4 states/eV per cell. The calculation puts the density at 7.38 g cm⁻³. The value obtained for the size of the total moment is 0.0 μB/cell. As for the space group: P4/mmm.

a = 3.625 Å, b = 3.625 Å, c = 22.249 Å
α = 90.00°, β = 90.00°, γ = 90.00°
Positions (direct):
Sm: 0.000 0.000 0.000
Sm: 0.000 0.000 0.192
Sm: 0.000 0.000 0.384
Sm: 0.000 0.000 0.616
Sm: 0.000 0.000 0.808
Y: 0.500 0.500 0.500
In: 0.500 0.500 0.096
In: 0.500 0.500 0.289
In: 0.500 0.500 0.711
In: 0.500 0.500 0.904

Entry from Alexandria: an optimized crystal structure of Sm3Y2In (PBE).

## Properties
The value obtained for the formation energy is 0.166 eV per atom. For the density of states at the Fermi level, the calculation gives 9.1 states/eV per cell. The calculation puts the density at 6.40 g cm⁻³. The value obtained for the size of the total moment is 0.0 μB/cell. As for the space group: Immm.

a = 6.726 Å, b = 6.726 Å, c = 6.726 Å
α = 128.76°, β = 122.51°, γ = 80.59°
Positions (direct):
Sm: 0.000 0.000 0.000
Sm: 0.349 0.349 0.000
Sm: 0.651 0.651 0.000
Y: 0.188 0.688 0.500
Y: 0.812 0.312 0.500
In: 0.500 0.000 0.500

Entry from Alexandria: an optimized crystal structure of Sm3YIn4 (PBE).

## Properties
The value obtained for the formation energy is -0.495 eV per atom. For the density of states at the Fermi level, the calculation gives 4.8 states/eV per cell. The calculation puts the density at 7.47 g cm⁻³. The value obtained for the size of the total moment is 0.0 μB/cell. As for the space group: P4/mmm.

a = 3.811 Å, b = 3.811 Å, c = 15.304 Å
α = 90.00°, β = 90.00°, γ = 90.00°
Positions (direct):
Sm: 0.000 0.000 0.000
Sm: 0.000 0.000 0.253
Sm: 0.000 0.000 0.747
Y: 0.000 0.000 0.500
In: 0.500 0.500 0.127
In: 0.500 0.500 0.380
In: 0.500 0.500 0.620
In: 0.500 0.500 0.873

Entry from Alexandria: an optimized crystal structure of SmY6In3 (PBE).

## Properties
The value obtained for the formation energy is -0.156 eV per atom. For the density of states at the Fermi level, the calculation gives 25.2 states/eV per cell. The calculation puts the density at 5.36 g cm⁻³. The value obtained for the size of the total moment is 0.0 μB/cell. As for the space group: Cmc2_1.

a = 9.189 Å, b = 9.189 Å, c = 7.821 Å
α = 90.00°, β = 90.00°, γ = 105.18°
Positions (direct):
Sm: 0.216 0.784 0.500
Sm: 0.784 0.216 0.000
Y: 0.033 0.967 0.148
Y: 0.059 0.436 0.699
Y: 0.269 0.731 0.997
Y: 0.277 0.343 0.016
Y: 0.343 0.277 0.516
Y: 0.436 0.059 0.199
Y: 0.564 0.941 0.699
Y: 0.657 0.723 0.016
Y: 0.723 0.657 0.516
Y: 0.731 0.269 0.497
Y: 0.941 0.564 0.199
Y: 0.967 0.033 0.648
In: 0.047 0.284 0.327
In: 0.284 0.047 0.827
In: 0.418 0.582 0.719
In: 0.582 0.418 0.219
In: 0.716 0.953 0.327
In: 0.953 0.716 0.827

Entry from Alexandria: an optimized crystal structure of Sm2Y2In3 (PBE).

## Properties
The value obtained for the formation energy is -0.311 eV per atom. For the density of states at the Fermi level, the calculation gives 8.6 states/eV per cell. The calculation puts the density at 6.56 g cm⁻³. The value obtained for the size of the total moment is 0.0 μB/cell. As for the space group: C2/m.

a = 6.638 Å, b = 6.638 Å, c = 9.039 Å
α = 112.58°, β = 112.58°, γ = 34.84°
Positions (direct):
Sm: 0.132 0.132 0.319
Sm: 0.868 0.868 0.681
Y: 0.382 0.382 0.047
Y: 0.618 0.618 0.953
In: 0.172 0.172 0.713
In: 0.500 0.500 0.500
In: 0.828 0.828 0.287

Entry from Alexandria: an optimized crystal structure of Sm8Y2In (PBE).

## Properties
The value obtained for the formation energy is 0.006 eV per atom. For the density of states at the Fermi level, the calculation gives 18.5 states/eV per cell. The calculation puts the density at 6.72 g cm⁻³. The value obtained for the size of the total moment is 0.0 μB/cell. As for the space group: Immm.

a = 9.918 Å, b = 9.918 Å, c = 9.918 Å
α = 147.61°, β = 134.54°, γ = 56.92°
Positions (direct):
Sm: 0.135 0.364 0.772
Sm: 0.179 0.179 0.000
Sm: 0.259 0.000 0.259
Sm: 0.408 0.636 0.772
Sm: 0.592 0.364 0.228
Sm: 0.741 0.000 0.741
Sm: 0.821 0.821 0.000
Sm: 0.865 0.636 0.228
Y: 0.307 0.807 0.500
Y: 0.693 0.193 0.500
In: 0.000 0.500 0.500

Entry from Alexandria: an optimized crystal structure of Sm12Y5In2 (PBE).

## Properties
The value obtained for the formation energy is -0.012 eV per atom. For the density of states at the Fermi level, the calculation gives 29.5 states/eV per cell. The calculation puts the density at 6.65 g cm⁻³. The value obtained for the size of the total moment is 0.0 μB/cell. As for the space group: C2/m.

a = 9.047 Å, b = 9.047 Å, c = 8.598 Å
α = 92.71°, β = 92.71°, γ = 61.68°
Positions (direct):
Sm: 0.055 0.055 0.326
Sm: 0.071 0.679 0.335
Sm: 0.167 0.538 0.764
Sm: 0.321 0.929 0.665
Sm: 0.418 0.418 0.113
Sm: 0.462 0.833 0.236
Sm: 0.538 0.167 0.764
Sm: 0.582 0.582 0.887
Sm: 0.679 0.071 0.335
Sm: 0.833 0.462 0.236
Sm: 0.929 0.321 0.665
Sm: 0.945 0.945 0.674
Y: 0.189 0.189 0.011
Y: 0.267 0.267 0.420
Y: 0.500 0.500 0.500
Y: 0.733 0.733 0.580
Y: 0.811 0.811 0.989
In: 0.175 0.825 0.000
In: 0.825 0.175 0.000

Entry from Alexandria: an optimized crystal structure of Sm2Y3In3 (PBE).

## Properties
The value obtained for the formation energy is -0.371 eV per atom. For the density of states at the Fermi level, the calculation gives 7.7 states/eV per cell. The calculation puts the density at 6.68 g cm⁻³. The value obtained for the size of the total moment is 0.0 μB/cell. As for the space group: Immm.

a = 10.824 Å, b = 10.824 Å, c = 10.824 Å
α = 156.19°, β = 153.68°, γ = 35.78°
Positions (direct):
Sm: 0.238 0.238 0.000
Sm: 0.762 0.762 0.000
Y: 0.000 0.000 0.000
Y: 0.382 0.882 0.500
Y: 0.618 0.118 0.500
In: 0.123 0.623 0.500
In: 0.500 0.500 0.000
In: 0.877 0.377 0.500

Entry from Alexandria: an optimized crystal structure of Sm8Y2In (PBE).

## Properties
The value obtained for the formation energy is -0.066 eV per atom. For the density of states at the Fermi level, the calculation gives 15.0 states/eV per cell. The calculation puts the density at 7.00 g cm⁻³. The value obtained for the size of the total moment is 0.0 μB/cell. As for the space group: C2/m.

a = 9.462 Å, b = 9.462 Å, c = 8.039 Å
α = 105.03°, β = 105.03°, γ = 30.78°
Positions (direct):
Sm: 0.044 0.044 0.226
Sm: 0.135 0.135 0.677
Sm: 0.321 0.321 0.592
Sm: 0.411 0.411 0.058
Sm: 0.589 0.589 0.942
Sm: 0.679 0.679 0.408
Sm: 0.865 0.865 0.323
Sm: 0.956 0.956 0.774
Y: 0.224 0.224 0.134
Y: 0.776 0.776 0.866
In: 0.500 0.500 0.500

Entry from Alexandria: an optimized crystal structure of SmY5In3 (PBE).

## Properties
The value obtained for the formation energy is -0.386 eV per atom. For the density of states at the Fermi level, the calculation gives 21.5 states/eV per cell. The calculation puts the density at 6.04 g cm⁻³. The value obtained for the size of the total moment is 0.8 μB/cell. As for the space group: P6_3/mcm.

a = 9.396 Å, b = 9.396 Å, c = 6.757 Å
α = 90.00°, β = 90.00°, γ = 120.00°
Positions (direct):
Sm: 0.000 0.000 0.000
Sm: 0.000 0.000 0.500
Y: 0.000 0.330 0.250
Y: 0.000 0.670 0.750
Y: 0.330 0.000 0.250
Y: 0.330 0.330 0.750
Y: 0.333 0.667 0.000
Y: 0.333 0.667 0.500
Y: 0.667 0.333 0.000
Y: 0.667 0.333 0.500
Y: 0.670 0.000 0.750
Y: 0.670 0.670 0.250
In: 0.000 0.339 0.750
In: 0.000 0.661 0.250
In: 0.339 0.000 0.750
In: 0.339 0.339 0.250
In: 0.661 0.000 0.250
In: 0.661 0.661 0.750

Entry from Alexandria: an optimized crystal structure of SmY4In2 (PBE).

## Properties
The value obtained for the formation energy is -0.149 eV per atom. For the density of states at the Fermi level, the calculation gives 18.3 states/eV per cell. The calculation puts the density at 5.60 g cm⁻³. The value obtained for the size of the total moment is 0.0 μB/cell. As for the space group: P2_1/c.

a = 6.496 Å, b = 10.736 Å, c = 6.915 Å
α = 90.00°, β = 115.12°, γ = 90.00°
Positions (direct):
Sm: 0.000 0.000 0.000
Sm: 0.000 0.500 0.500
Y: 0.006 0.167 0.501
Y: 0.006 0.333 0.001
Y: 0.493 0.720 0.498
Y: 0.493 0.780 0.998
Y: 0.507 0.220 0.002
Y: 0.507 0.280 0.502
Y: 0.994 0.667 0.999
Y: 0.994 0.833 0.499
In: 0.452 0.501 0.188
In: 0.452 0.999 0.688
In: 0.548 0.001 0.312
In: 0.548 0.499 0.812

Entry from Alexandria: an optimized crystal structure of Sm9YIn2 (PBE).

## Properties
The value obtained for the formation energy is -0.169 eV per atom. For the density of states at the Fermi level, the calculation gives 15.0 states/eV per cell. The calculation puts the density at 7.43 g cm⁻³. The value obtained for the size of the total moment is 0.0 μB/cell. As for the space group: P4/mmm.

a = 4.957 Å, b = 4.957 Å, c = 15.207 Å
α = 90.00°, β = 90.00°, γ = 90.00°
Positions (direct):
Sm: 0.000 0.000 0.000
Sm: 0.000 0.000 0.337
Sm: 0.000 0.000 0.663
Sm: 0.000 0.500 0.173
Sm: 0.000 0.500 0.500
Sm: 0.000 0.500 0.827
Sm: 0.500 0.000 0.173
Sm: 0.500 0.000 0.500
Sm: 0.500 0.000 0.827
Y: 0.500 0.500 0.000
In: 0.500 0.500 0.339
In: 0.500 0.500 0.661

Entry from Alexandria: an optimized crystal structure of SmY3In2 (PBE).

## Properties
The value obtained for the formation energy is -0.305 eV per atom. For the density of states at the Fermi level, the calculation gives 7.3 states/eV per cell. The calculation puts the density at 6.22 g cm⁻³. The value obtained for the size of the total moment is 0.8 μB/cell. As for the space group: Cmmm.

a = 8.887 Å, b = 8.887 Å, c = 3.749 Å
α = 90.00°, β = 90.00°, γ = 144.37°
Positions (direct):
Sm: 0.000 0.000 0.000
Y: 0.179 0.821 0.500
Y: 0.500 0.500 0.500
Y: 0.821 0.179 0.500
In: 0.346 0.654 0.000
In: 0.654 0.346 0.000

Entry from Alexandria: an optimized crystal structure of Sm2Y3In (PBE).

## Properties
The value obtained for the formation energy is -0.156 eV per atom. For the density of states at the Fermi level, the calculation gives 7.4 states/eV per cell. The calculation puts the density at 6.16 g cm⁻³. The value obtained for the size of the total moment is 0.0 μB/cell. As for the space group: Cmmm.

a = 8.020 Å, b = 8.020 Å, c = 4.911 Å
α = 90.00°, β = 90.00°, γ = 144.39°
Positions (direct):
Sm: 0.162 0.838 0.000
Sm: 0.838 0.162 0.000
Y: 0.000 0.000 0.500
Y: 0.335 0.665 0.500
Y: 0.665 0.335 0.500
In: 0.500 0.500 0.000

Entry from Alexandria: an optimized crystal structure of Sm2Y4In (PBE).

## Properties
The value obtained for the formation energy is -0.046 eV per atom. For the density of states at the Fermi level, the calculation gives 18.8 states/eV per cell. The calculation puts the density at 5.86 g cm⁻³. The value obtained for the size of the total moment is 0.0 μB/cell. As for the space group: P2_1/m.

a = 5.708 Å, b = 6.732 Å, c = 11.699 Å
α = 90.00°, β = 103.48°, γ = 90.00°
Positions (direct):
Sm: 0.017 0.250 0.474
Sm: 0.330 0.750 0.079
Sm: 0.670 0.250 0.921
Sm: 0.983 0.750 0.526
Y: 0.155 0.006 0.785
Y: 0.155 0.494 0.785
Y: 0.226 0.250 0.064
Y: 0.411 0.750 0.375
Y: 0.589 0.250 0.625
Y: 0.774 0.750 0.936
Y: 0.845 0.506 0.215
Y: 0.845 0.994 0.215
In: 0.445 0.250 0.334
In: 0.555 0.750 0.666

Entry from Alexandria: an optimized crystal structure of Sm2YIn2 (PBE).

## Properties
The value obtained for the formation energy is -0.393 eV per atom. For the density of states at the Fermi level, the calculation gives 8.2 states/eV per cell. The calculation puts the density at 7.13 g cm⁻³. The value obtained for the size of the total moment is 0.0 μB/cell. As for the space group: P2_1/m.

a = 3.798 Å, b = 5.387 Å, c = 14.234 Å
α = 90.00°, β = 97.69°, γ = 90.00°
Positions (direct):
Sm: 0.047 0.250 0.095
Sm: 0.237 0.250 0.474
Sm: 0.763 0.750 0.526
Sm: 0.953 0.750 0.905
Y: 0.147 0.750 0.296
Y: 0.853 0.250 0.704
In: 0.357 0.750 0.713
In: 0.449 0.250 0.898
In: 0.551 0.750 0.102
In: 0.643 0.250 0.287

Entry from Alexandria: an optimized crystal structure of SmY3In4 (PBE).

## Properties
The value obtained for the formation energy is -0.498 eV per atom. For the density of states at the Fermi level, the calculation gives 3.5 states/eV per cell. The calculation puts the density at 6.74 g cm⁻³. The value obtained for the size of the total moment is 0.0 μB/cell. As for the space group: P4/mmm.

a = 5.357 Å, b = 5.357 Å, c = 7.527 Å
α = 90.00°, β = 90.00°, γ = 90.00°
Positions (direct):
Sm: 0.000 0.000 0.000
Y: 0.000 0.000 0.500
Y: 0.500 0.500 0.000
Y: 0.500 0.500 0.500
In: 0.000 0.500 0.254
In: 0.000 0.500 0.746
In: 0.500 0.000 0.254
In: 0.500 0.000 0.746